[1]
This record from the Alexandria database describes an optimized crystal structure of Ta3CdRu. The functional is PBE-GGA.

Unit cell a=4.814 b=4.814 c=4.814 alpha=90.00 beta=90.00 gamma=90.00
Atoms (fractional coordinates):
Ta 0.000 0.000 0.500
Ta 0.000 0.500 0.000
Ta 0.500 0.000 0.000
Cd 0.500 0.500 0.500
Ru 0.000 0.000 0.000

Formation enthalpy at 0 K, eV per formula unit: 5.0
Energy relative to the lowest polymorph listed for this composition, meV per atom: 0
Electronic total energy, eV per cell: -40.7
Fermi-level density of states, states/eV/cell: 3.7
Space-group type: Pm-3m, No. 221

---

[2]
This record from the Alexandria database describes an optimized crystal structure of Ba3Sr2Cd3. The functional is PBE-GGA.

Unit cell a=4.224 b=6.255 c=25.720 alpha=90.00 beta=90.00 gamma=90.00
Atoms (fractional coordinates):
Ba 0.000 0.000 0.000
Ba 0.000 0.500 0.116
Ba 0.000 0.500 0.884
Ba 0.500 0.000 0.384
Ba 0.500 0.000 0.616
Ba 0.500 0.500 0.500
Sr 0.000 0.000 0.223
Sr 0.000 0.000 0.777
Sr 0.500 0.500 0.277
Sr 0.500 0.500 0.723
Cd 0.000 0.000 0.500
Cd 0.000 0.500 0.383
Cd 0.000 0.500 0.617
Cd 0.500 0.000 0.117
Cd 0.500 0.000 0.883
Cd 0.500 0.500 0.000

Formation enthalpy at 0 K, eV per formula unit: -1.9
Electronic total energy, eV per cell: -27.5
Fermi-level density of states, states/eV/cell: 13.6
Space-group type: Immm, No. 71

---

[3]
This record from the Alexandria database describes an optimized crystal structure of Nd3Mg4Ag2. The functional is PBE-GGA.

Unit cell a=6.103 b=6.103 c=9.560 alpha=120.14 beta=120.14 gamma=49.96
Atoms (fractional coordinates):
Nd 0.000 0.000 0.000
Nd 0.339 0.339 0.329
Nd 0.661 0.661 0.671
Mg 0.075 0.075 0.400
Mg 0.288 0.288 0.948
Mg 0.712 0.712 0.052
Mg 0.925 0.925 0.600
Ag 0.386 0.386 0.721
Ag 0.614 0.614 0.279

Formation enthalpy at 0 K, eV per formula unit: -1.6
Electronic total energy, eV per cell: -27.9
Fermi-level density of states, states/eV/cell: 5.8
Space-group type: C2/m, No. 12

---

[4]
This record from the Alexandria database describes an optimized crystal structure of ZrV4B2. The functional is PBE-GGA.

Unit cell a=3.440 b=14.494 c=3.436 alpha=90.00 beta=90.00 gamma=90.00
Atoms (fractional coordinates):
Zr 0.000 0.000 0.000
Zr 0.500 0.500 0.000
V 0.000 0.170 0.500
V 0.000 0.329 0.000
V 0.000 0.671 0.000
V 0.000 0.830 0.500
V 0.500 0.171 0.000
V 0.500 0.330 0.500
V 0.500 0.670 0.500
V 0.500 0.829 0.000
B 0.000 0.438 0.500
B 0.000 0.562 0.500
B 0.500 0.062 0.500
B 0.500 0.938 0.500

Formation enthalpy at 0 K, eV per formula unit: -3.0
Electronic total energy, eV per cell: -122.7
Fermi-level density of states, states/eV/cell: 9.9
Space-group type: Cmmm, No. 65

---

[5]
This record from the Alexandria database describes an optimized crystal structure of Rb2SmDyO4. The functional is PBE-GGA.

Unit cell a=6.172 b=3.563 c=6.893 alpha=90.00 beta=107.33 gamma=90.00
Atoms (fractional coordinates):
Rb 0.000 0.000 0.000
Rb 0.500 0.500 0.000
Sm 0.000 0.500 0.500
Dy 0.500 0.000 0.500
O 0.232 0.000 0.678
O 0.280 0.500 0.324
O 0.720 0.500 0.676
O 0.768 0.000 0.322

Formation energy (no corrections), meV per atom: -2648
Electronic total energy, eV per cell: -52.3
Fermi-level density of states, states/eV/cell: 0.0
Space-group type: P2/m, No. 10

---

[6]
This record from the Alexandria database describes an optimized crystal structure of Ba6Pt2SeI3. The functional is PBE-GGA.

Unit cell a=8.187 b=8.187 c=8.982 alpha=98.78 beta=98.78 gamma=119.98
Atoms (fractional coordinates):
Ba 0.089 0.434 0.798
Ba 0.222 0.222 0.201
Ba 0.434 0.089 0.798
Ba 0.566 0.911 0.202
Ba 0.778 0.778 0.799
Ba 0.911 0.566 0.202
Pt 0.167 0.833 0.000
Pt 0.833 0.167 0.000
Se 0.500 0.500 0.000
I 0.000 0.000 0.500
I 0.338 0.662 0.500
I 0.662 0.338 0.500

Formation energy (no corrections), meV per atom: -1322
Electronic total energy, eV per cell: -47.6
Fermi-level density of states, states/eV/cell: 9.7
Space-group type: C2/m, No. 12

---

[7]
This record from the Alexandria database describes an optimized crystal structure of TaTlCF2. The functional is PBE-GGA.

Unit cell a=4.050 b=4.050 c=4.859 alpha=90.00 beta=90.00 gamma=90.00
Atoms (fractional coordinates):
Ta 0.000 0.000 0.000
Tl 0.500 0.500 0.000
C 0.500 0.500 0.500
F 0.000 0.500 0.500
F 0.500 0.000 0.500

Formation energy (no corrections), meV per atom: 1097
Electronic total energy, eV per cell: -21.7
Fermi-level density of states, states/eV/cell: 3.6
Space-group type: P4/mmm, No. 123

---

[8]
This record from the Alexandria database describes an optimized crystal structure of BeNb3Tc. The functional is PBE-GGA.

Unit cell a=4.783 b=4.783 c=4.783 alpha=90.00 beta=90.00 gamma=90.00
Atoms (fractional coordinates):
Be 0.000 0.000 0.000
Nb 0.000 0.500 0.500
Nb 0.500 0.000 0.500
Nb 0.500 0.500 0.000
Tc 0.500 0.500 0.500

Formation enthalpy at 0 K, eV per formula unit: 6.7
Energy relative to the lowest polymorph listed for this composition, meV per atom: 646
Electronic total energy, eV per cell: -37.6
Fermi-level density of states, states/eV/cell: 4.2
Space-group type: Pm-3m, No. 221